# 1
Compound: Ba6CdRhAu
Source: Alexandria
Functional: PBE-GGA
Structure: optimized geometry

Cell and atoms, written as CIF:
```
data_Ba6CdRhAu
_chemical_formula_sum 'Ba6 Cd1 Rh1 Au1'
_space_group_name_H-M_alt 'P 1'
_space_group_IT_number 1
_cell_length_a 8.1938
_cell_length_b 8.1937
_cell_length_c 7.7226
_cell_angle_alpha 90.01
_cell_angle_beta 89.99
_cell_angle_gamma 60.00
loop_
_space_group_symop_operation_xyz
'x,y,z'
loop_
_atom_site_label
_atom_site_fract_x
_atom_site_fract_y
_atom_site_fract_z
_atom_site_occupancy
Ba1 0.3431 0.0182 0.7305 1
Ba2 0.6387 0.3431 0.7304 1
Ba3 0.0181 0.6388 0.7304 1
Ba4 0.6387 0.0181 0.2696 1
Ba5 0.0182 0.3431 0.2695 1
Ba6 0.3431 0.6387 0.2695 1
Rh1 0.3333 0.3333 0.5000 1
Cd1 0.0000 0.0000 0.0000 1
Au1 0.6666 0.6667 0.5000 1
```

## Properties
As for the density of states at the Fermi level: 4.8 states/eV/cell. For the final energy, the calculation gives -25.81 eV/cell. The symmetry is P312, No. 149.

***

# 2
Compound: Ba6CdRhAu2
Source: Alexandria
Functional: PBE-GGA
Structure: optimized geometry

Cell and atoms, written as CIF:
```
data_Ba6CdRhAu2
_chemical_formula_sum 'Ba6 Cd1 Rh1 Au2'
_space_group_name_H-M_alt 'P 1'
_space_group_IT_number 1
_cell_length_a 8.2042
_cell_length_b 8.2024
_cell_length_c 8.9332
_cell_angle_alpha 62.65
_cell_angle_beta 62.67
_cell_angle_gamma 60.05
loop_
_space_group_symop_operation_xyz
'x,y,z'
loop_
_atom_site_label
_atom_site_fract_x
_atom_site_fract_y
_atom_site_fract_z
_atom_site_occupancy
Ba1 0.3919 0.7388 0.7681 1
Ba2 0.1007 0.3925 0.7688 1
Ba3 0.9346 0.5439 0.2338 1
Ba4 0.2884 0.9340 0.2327 1
Ba5 0.7380 0.1010 0.7689 1
Ba6 0.5448 0.2883 0.2327 1
Au1 0.9816 0.9812 0.0552 1
Au2 0.5001 0.5000 0.4991 1
Cd1 0.8448 0.8449 0.4662 1
Rh1 0.3367 0.3371 0.9897 1
```

## Properties
As for the density of states at the Fermi level: 6.6 states/eV/cell. For the final energy, the calculation gives -30.24 eV/cell. The symmetry is P1, No. 1.

***

# 3
Compound: Ba2CdRhAu
Source: Alexandria
Functional: PBE-GGA
Structure: optimized geometry

Cell and atoms, written as CIF:
```
data_Ba2CdRhAu
_chemical_formula_sum 'Ba2 Cd1 Rh1 Au1'
_space_group_name_H-M_alt 'P 1'
_space_group_IT_number 1
_cell_length_a 5.9030
_cell_length_b 5.9030
_cell_length_c 5.1787
_cell_angle_alpha 90.00
_cell_angle_beta 90.00
_cell_angle_gamma 90.00
loop_
_space_group_symop_operation_xyz
'x,y,z'
loop_
_atom_site_label
_atom_site_fract_x
_atom_site_fract_y
_atom_site_fract_z
_atom_site_occupancy
Rh1 0.0000 0.0000 0.0000 1
Ba1 0.5000 0.0000 0.0000 1
Ba2 0.0000 0.5000 0.0000 1
Cd1 0.0000 0.0000 0.5000 1
Au1 0.5000 0.5000 0.5000 1
```

## Properties
As for the density of states at the Fermi level: 3.3 states/eV/cell. For the final energy, the calculation gives -16.72 eV/cell. The symmetry is P4/mmm, No. 123.

***

# 4
Compound: Ba2CdAuS
Source: Alexandria
Functional: PBE-GGA
Structure: optimized geometry

Cell and atoms, written as CIF:
```
data_Ba2CdAuS
_chemical_formula_sum 'Ba2 Cd1 Au1 S1'
_space_group_name_H-M_alt 'P 1'
_space_group_IT_number 1
_cell_length_a 6.3698
_cell_length_b 4.8472
_cell_length_c 6.3698
_cell_angle_alpha 90.00
_cell_angle_beta 90.00
_cell_angle_gamma 90.00
loop_
_space_group_symop_operation_xyz
'x,y,z'
loop_
_atom_site_label
_atom_site_fract_x
_atom_site_fract_y
_atom_site_fract_z
_atom_site_occupancy
Ba1 0.5000 0.0000 0.0000 1
Ba2 0.0000 0.0000 0.5000 1
S1 0.0000 0.5000 0.0000 1
Cd1 0.5000 0.5000 0.5000 1
Au1 0.0000 0.0000 0.0000 1
```

## Properties
As for the formation energy (no corrections): -0.40 eV per atom. As for the density of states at the Fermi level: 3.0 states/eV/cell. The symmetry is P4/mmm, No. 123.